The following is a PBE calculation of Al3FeSi2 after structural relaxation, from the Open Quantum Materials Database.

Summary:
uncorrected energy	-5.123	eV per atom

a = 5.723 Å, b = 6.087 Å, c = 5.505 Å
α = 90.00°, β = 90.00°, γ = 90.00°
Space group Pmna (No. 53)
Inequivalent atoms, fractional coordinates:
1 Al 0.000 0.000 0.000 [2 per cell]
2 Al 0.250 0.285 0.250 [4 per cell]
3 Fe 0.000 0.500 0.500 [2 per cell]
4 Si 0.250 0.289 0.750 [4 per cell]

---

The following is a PBE calculation of AlFeSi after structural relaxation, from the Open Quantum Materials Database.

Summary:
uncorrected energy	-5.788	eV per atom

a = 5.582 Å, b = 5.582 Å, c = 5.582 Å
α = 90.00°, β = 90.00°, γ = 90.00°
Space group F-43m (No. 216)
Inequivalent atoms, fractional coordinates:
1 Al 0.000 0.000 0.000 [4 per cell]
2 Fe 0.000 0.000 0.500 [4 per cell]
3 Si 0.250 0.250 0.250 [4 per cell]

---

The following is a PBE calculation of Al3Fe2Si after structural relaxation, from the Open Quantum Materials Database.

Summary:
uncorrected energy	-5.953	eV per atom

a = 10.731 Å, b = 10.731 Å, c = 10.731 Å
α = 90.00°, β = 90.00°, γ = 90.00°
Space group Fd-3m (No. 227, origin choice 2)
Inequivalent atoms, fractional coordinates:
1 Al 0.076 0.375 0.375 [48 per cell]
2 Fe 0.035 0.035 0.715 [32 per cell]
3 Si 0.000 0.000 0.500 [16 per cell]